[1]
# V2H3Rh2 (PBE-GGA, optimized geometry)
data_V2H3Rh2
_space_group_name_H-M_alt 'C 1 2/m 1'
_space_group_IT_number 12
_space_group_name_Hall '-C 2y'
_cell_length_a 10.4476
_cell_length_b 2.7903
_cell_length_c 4.1978
_cell_angle_alpha 90.00
_cell_angle_beta 90.17
_cell_angle_gamma 90.00
loop_
_atom_site_label
_atom_site_type_symbol
_atom_site_fract_x
_atom_site_fract_y
_atom_site_fract_z
V1 V 0.0692 0.0000 0.2356
H1 H 0.0000 0.5000 0.5000
H2 H 0.2021 0.5000 0.2378
Rh1 Rh 0.1644 0.5000 0.7456
# - spin magnetization (μB/f.u.) = 0.00
# - crystal system = monoclinic
# - electronic total energy (eV/atom) = -6.316

=====

[2]
# SmEr3Tl3 (PBE-GGA, optimized geometry)
data_SmEr3Tl3
_space_group_name_H-M_alt 'P 63/m'
_space_group_IT_number 176
_space_group_name_Hall '-P 6c'
_cell_length_a 9.3961
_cell_length_b 9.3961
_cell_length_c 5.2178
_cell_angle_alpha 90.00
_cell_angle_beta 90.00
_cell_angle_gamma 120.00
loop_
_atom_site_label
_atom_site_type_symbol
_atom_site_fract_x
_atom_site_fract_y
_atom_site_fract_z
Sm1 Sm 0.3333 0.6667 0.2500
Er1 Er 0.0014 0.7705 0.2500
Tl1 Tl 0.0722 0.6238 0.7500
# - ΔE_f (eV/atom) = -0.237
# - spin magnetization (μB/f.u.) = 0.00
# - crystal system = hexagonal
# - electronic total energy (eV/atom) = -3.880

=====

[3]
# Sc5Ni2Sn (PBE-GGA, optimized geometry)
data_Sc5Ni2Sn
_space_group_name_H-M_alt 'I 4/m c m'
_space_group_IT_number 140
_space_group_name_Hall '-I 4 2c'
_cell_length_a 7.2140
_cell_length_b 7.2140
_cell_length_c 12.4351
_cell_angle_alpha 90.00
_cell_angle_beta 90.00
_cell_angle_gamma 90.00
loop_
_atom_site_label
_atom_site_type_symbol
_atom_site_fract_x
_atom_site_fract_y
_atom_site_fract_z
Sc1 Sc 0.0000 0.0000 0.0000
Sc2 Sc 0.1575 0.3425 0.1367
Ni1 Ni 0.1300 0.3700 0.5000
Sn1 Sn 0.0000 0.0000 0.2500
# - ΔE_f (eV/atom) = -0.474
# - spin magnetization (μB/f.u.) = 0.00
# - crystal system = tetragonal
# - electronic total energy (eV/atom) = -6.377

=====

[4]
# ZrMn2Si (PBE-GGA, optimized geometry)
data_ZrMn2Si
_space_group_name_H-M_alt 'I -4 2 d'
_space_group_IT_number 122
_space_group_name_Hall 'I -4 2bw'
_cell_length_a 3.8320
_cell_length_b 3.8320
_cell_length_c 17.1229
_cell_angle_alpha 90.00
_cell_angle_beta 90.00
_cell_angle_gamma 90.00
loop_
_atom_site_label
_atom_site_type_symbol
_atom_site_fract_x
_atom_site_fract_y
_atom_site_fract_z
Zr1 Zr 0.0000 0.0000 0.0000
Mn1 Mn 0.1407 0.2500 0.6250
Si1 Si 0.0000 0.0000 0.5000
# - formation energy without anion corrections (eV per atom) = 0.118
# - spin magnetization (μB/f.u.) = 0.00
# - crystal system = tetragonal
# - electronic total energy (eV/atom) = -7.960

=====

[5]
# CrCdSe2 (PBE-GGA, optimized geometry)
data_CrCdSe2
_space_group_name_H-M_alt 'P 4/m m m'
_space_group_IT_number 123
_space_group_name_Hall '-P 4 2'
_cell_length_a 3.9367
_cell_length_b 3.9367
_cell_length_c 5.5509
_cell_angle_alpha 90.00
_cell_angle_beta 90.00
_cell_angle_gamma 90.00
loop_
_atom_site_label
_atom_site_type_symbol
_atom_site_fract_x
_atom_site_fract_y
_atom_site_fract_z
Cr1 Cr 0.0000 0.0000 0.0000
Cd1 Cd 0.5000 0.5000 0.5000
Se1 Se 0.0000 0.0000 0.5000
Se2 Se 0.5000 0.5000 0.0000
# - formation energy without anion corrections (eV per atom) = -0.339
# - spin magnetization (μB/f.u.) = 3.96
# - crystal system = tetragonal
# - electronic total energy (eV/atom) = -4.715

=====

[6]
# NaRe2F2 (PBE-GGA, optimized geometry)
data_NaRe2F2
_space_group_name_H-M_alt 'I 4/m m m'
_space_group_IT_number 139
_space_group_name_Hall '-I 4 2'
_cell_length_a 3.4460
_cell_length_b 3.4460
_cell_length_c 14.3717
_cell_angle_alpha 90.00
_cell_angle_beta 90.00
_cell_angle_gamma 90.00
loop_
_atom_site_label
_atom_site_type_symbol
_atom_site_fract_x
_atom_site_fract_y
_atom_site_fract_z
Na1 Na 0.0000 0.0000 0.0000
Re1 Re 0.0000 0.5000 0.2500
F1 F 0.0000 0.0000 0.4085
# - formation energy without anion corrections (eV per atom) = -0.193
# - spin magnetization (μB/f.u.) = 0.00
# - crystal system = tetragonal
# - electronic total energy (eV/atom) = -6.185

=====

[7]
# Tc3SnN (PBE-GGA, optimized geometry)
data_Tc3SnN
_space_group_name_H-M_alt 'P m -3 m'
_space_group_IT_number 221
_space_group_name_Hall '-P 4 2 3'
_cell_length_a 4.1287
_cell_length_b 4.1287
_cell_length_c 4.1287
_cell_angle_alpha 90.00
_cell_angle_beta 90.00
_cell_angle_gamma 90.00
loop_
_atom_site_label
_atom_site_type_symbol
_atom_site_fract_x
_atom_site_fract_y
_atom_site_fract_z
Tc1 Tc 0.0000 0.0000 0.5000
Sn1 Sn 0.5000 0.5000 0.5000
N1 N 0.0000 0.0000 0.0000
# - formation energy without anion corrections (eV per atom) = 0.043
# - spin magnetization (μB/f.u.) = 1.22
# - crystal system = cubic
# - electronic total energy (eV/atom) = -8.643

=====

[8]
# TbUTe3 (PBE-GGA, optimized geometry)
data_TbUTe3
_space_group_name_H-M_alt 'P n m a'
_space_group_IT_number 62
_space_group_name_Hall '-P 2ac 2n'
_cell_length_a 12.0630
_cell_length_b 4.2691
_cell_length_c 11.8971
_cell_angle_alpha 90.00
_cell_angle_beta 90.00
_cell_angle_gamma 90.00
loop_
_atom_site_label
_atom_site_type_symbol
_atom_site_fract_x
_atom_site_fract_y
_atom_site_fract_z
Tb1 Tb 0.0177 0.2500 0.1870
U1 U 0.1954 0.2500 0.4982
Te1 Te 0.0442 0.7500 0.3749
Te2 Te 0.1182 0.2500 0.9451
Te3 Te 0.2238 0.7500 0.6984
# - formation energy without anion corrections (eV per atom) = -1.002
# - spin magnetization (μB/f.u.) = 2.87
# - crystal system = orthorhombic
# - electronic total energy (eV/atom) = -6.071

=====

[9]
# Mg3NiI (PBE-GGA, optimized geometry)
data_Mg3NiI
_space_group_name_H-M_alt 'P m -3 m'
_space_group_IT_number 221
_space_group_name_Hall '-P 4 2 3'
_cell_length_a 5.0047
_cell_length_b 5.0047
_cell_length_c 5.0047
_cell_angle_alpha 90.00
_cell_angle_beta 90.00
_cell_angle_gamma 90.00
loop_
_atom_site_label
_atom_site_type_symbol
_atom_site_fract_x
_atom_site_fract_y
_atom_site_fract_z
Mg1 Mg 0.0000 0.0000 0.5000
Ni1 Ni 0.0000 0.0000 0.0000
I1 I 0.5000 0.5000 0.5000
# - formation energy without anion corrections (eV per atom) = -0.001
# - spin magnetization (μB/f.u.) = 0.00
# - crystal system = cubic
# - electronic total energy (eV/atom) = -2.424

=====

[10]
# MgTlBi2 (PBE-GGA, optimized geometry)
data_MgTlBi2
_space_group_name_H-M_alt 'C 1 2/m 1'
_space_group_IT_number 12
_space_group_name_Hall '-C 2y'
_cell_length_a 5.4682
_cell_length_b 4.2803
_cell_length_c 10.5786
_cell_angle_alpha 90.00
_cell_angle_beta 102.87
_cell_angle_gamma 90.00
loop_
_atom_site_label
_atom_site_type_symbol
_atom_site_fract_x
_atom_site_fract_y
_atom_site_fract_z
Mg1 Mg 0.0000 0.0000 0.0000
Tl1 Tl 0.0000 0.0000 0.5000
Bi1 Bi 0.0268 0.5000 0.7793
# - ΔE_f (eV/atom) = -0.080
# - spin magnetization (μB/f.u.) = 0.00
# - crystal system = monoclinic
# - electronic total energy (eV/atom) = -3.010

=====

[11]
# NaLaPb2Se4 (PBE-GGA, optimized geometry)
data_NaLaPb2Se4
_space_group_name_H-M_alt 'P 1 2/m 1'
_space_group_IT_number 10
_space_group_name_Hall '-P 2y'
_cell_length_a 7.4425
_cell_length_b 4.3736
_cell_length_c 7.5961
_cell_angle_alpha 90.00
_cell_angle_beta 108.79
_cell_angle_gamma 90.00
loop_
_atom_site_label
_atom_site_type_symbol
_atom_site_fract_x
_atom_site_fract_y
_atom_site_fract_z
Na1 Na 0.0000 0.0000 0.0000
La1 La 0.5000 0.5000 0.0000
Pb1 Pb 0.0000 0.5000 0.5000
Pb2 Pb 0.5000 0.0000 0.5000
Se1 Se 0.2545 0.5000 0.2434
Se2 Se 0.2558 0.0000 0.7607
# - formation energy without anion corrections (eV per atom) = -1.135
# - spin magnetization (μB/f.u.) = 0.00
# - crystal system = monoclinic
# - electronic total energy (eV/atom) = -4.585

=====

[12]
# LiMgRh2 (PBE-GGA, optimized geometry)
data_LiMgRh2
_space_group_name_H-M_alt 'P m m 2'
_space_group_IT_number 25
_space_group_name_Hall 'P 2 -2'
_cell_length_a 2.8008
_cell_length_b 3.9364
_cell_length_c 5.3606
_cell_angle_alpha 90.00
_cell_angle_beta 90.00
_cell_angle_gamma 90.00
loop_
_atom_site_label
_atom_site_type_symbol
_atom_site_fract_x
_atom_site_fract_y
_atom_site_fract_z
Li1 Li 0.0000 0.0000 0.0000
Mg1 Mg 0.5000 0.5000 0.2629
Rh1 Rh 0.0000 0.0000 0.5300
Rh2 Rh 0.5000 0.5000 0.7555
# - ΔE_f (eV/atom) = -0.174
# - spin magnetization (μB/f.u.) = 0.00
# - crystal system = orthorhombic
# - electronic total energy (eV/atom) = -4.727

=====

[13]
# CaEuAs (PBE-GGA, optimized geometry)
data_CaEuAs
_space_group_name_H-M_alt 'P 3 m 1'
_space_group_IT_number 156
_space_group_name_Hall 'P 3 -2"'
_cell_length_a 4.3765
_cell_length_b 4.3765
_cell_length_c 6.8104
_cell_angle_alpha 90.00
_cell_angle_beta 90.00
_cell_angle_gamma 120.00
loop_
_atom_site_label
_atom_site_type_symbol
_atom_site_fract_x
_atom_site_fract_y
_atom_site_fract_z
Ca1 Ca 0.0000 0.0000 0.0000
Eu1 Eu 0.3333 0.6667 0.5462
As1 As 0.6667 0.3333 0.7845
# - ΔE_f (eV/atom) = -0.839
# - spin magnetization (μB/f.u.) = 7.72
# - crystal system = trigonal
# - electronic total energy (eV/atom) = -6.480